Rb2MgCBr: PBEsol geometry, SCAN.

Lattice parameters (Å, degrees): 6.484 6.484 4.025 90.00 90.00 90.00
Space group P4/mmm (No. 123)
Unique sites:
Rb (0.000, 0.500, 0.000) (multiplicity 2)
Mg (0.000, 0.000, 0.000) (multiplicity 1)
C (0.000, 0.000, 0.500) (multiplicity 1)
Br (0.500, 0.500, 0.500) (multiplicity 1)

## Properties
**E**: -15.097 eV/atom
**Raw formation energy**: 2.44 kcal/mol of atoms